1.
Density functional theory data (PBE) for crystalline ScBCl2 at its relaxed geometry.

a b c (Å): 9.4287 9.4287 7.0881
angles (deg): 48.31 48.31 90.00
Fractional positions:
Sc1 0.0000 0.0000 0.0000
Sc2 0.7500 0.2500 0.5000
B1 0.5000 0.5000 0.0000
B2 0.2500 0.7500 0.5000
Cl1 0.8025 0.1250 0.2500
Cl2 0.9475 0.6250 0.2500
Cl3 0.3750 0.1975 0.7500
Cl4 0.8750 0.0525 0.7500

Output
- Formation energy from raw total energies: -0.307 eV per atom
- Energy: -4.482 eV/atom
- Distance to the lowest polymorph of the same formula: 0 meV/atom
- N(E_F): 2.85 states/eV/f.u.

2.
Density functional theory data (PBE) for crystalline Er2ScCdN at its relaxed geometry.

a b c (Å): 4.4588 4.7966 4.7966
angles (deg): 90.00 90.00 90.00
Fractional positions:
Er1 0.0000 0.0000 0.5000
Er2 0.0000 0.5000 0.0000
Sc1 0.5000 0.0000 0.0000
Cd1 0.5000 0.5000 0.5000
N1 0.0000 0.0000 0.0000

Output
- Formation energy from raw total energies: -0.907 eV per atom
- Energy: -5.847 eV/atom
- N(E_F): 3.65 states/eV/f.u.

3.
Density functional theory data (PBE) for crystalline La2PmTh3As6 at its relaxed geometry.

a b c (Å): 4.2888 8.5756 9.5985
angles (deg): 103.04 102.91 90.00
Fractional positions:
La1 0.8340 0.6679 0.6680
La2 0.1660 0.3321 0.3320
Pm1 0.5000 0.0000 0.0000
Th1 0.5000 0.5000 0.0000
Th2 0.8330 0.1656 0.6661
Th3 0.1670 0.8344 0.3339
As1 0.3333 0.9218 0.6667
As2 0.6648 0.5882 0.3296
As3 0.6667 0.0782 0.3333
As4 0.9979 0.2503 0.9958
As5 0.0021 0.7497 0.0042
As6 0.3352 0.4118 0.6704

Output
- Energy: -6.894 eV/atom
- N(E_F): 5.49 states/eV/f.u.

4.
Density functional theory data (PBE) for crystalline Pm14ScIn at its relaxed geometry.

a b c (Å): 7.1552 7.1552 10.2231
angles (deg): 90.00 90.00 90.00
Fractional positions:
Pm1 0.3751 0.6249 0.5000
Pm2 0.8751 0.1249 0.5000
Pm3 0.8740 0.6245 0.0000
Pm4 0.8756 0.6254 0.5000
Pm5 0.3755 0.1260 0.0000
Pm6 0.3746 0.1244 0.5000
Pm7 0.6254 0.8754 0.7570
Pm8 0.6254 0.8754 0.2430
Pm9 0.1246 0.3746 0.7570
Pm10 0.1246 0.3746 0.2430
Pm11 0.1246 0.8754 0.7575
Pm12 0.1246 0.8754 0.2425
Pm13 0.6255 0.3745 0.7565
Pm14 0.6255 0.3745 0.2435
Sc1 0.8750 0.1250 0.0000
In1 0.3749 0.6251 0.0000

Output
- Energy: -4.761 eV/atom
- N(E_F): 21.29 states/eV/f.u.

5.
Density functional theory data (PBE) for crystalline YRe3Pd at its relaxed geometry.

a b c (Å): 4.7590 4.7590 4.7590
angles (deg): 90.00 90.00 90.00
Fractional positions:
Y1 0.5000 0.5000 0.5000
Re1 0.0000 0.5000 0.0000
Re2 0.0000 0.0000 0.5000
Re3 0.5000 0.0000 0.0000
Pd1 0.0000 0.0000 0.0000

Output
- Energy: -7.900 eV/atom
- Distance to the lowest polymorph of the same formula: 0 meV/atom
- N(E_F): 8.82 states/eV/f.u.

6.
Density functional theory data (PBE) for crystalline KNaCa at its relaxed geometry.

a b c (Å): 4.0520 4.0520 9.2354
angles (deg): 102.67 102.67 90.00
Fractional positions:
Na1 0.6772 0.6772 0.3544
Ca1 0.3174 0.3174 0.6347
K1 0.0054 0.0054 0.0109

Output
- Energy: -1.365 eV/atom
- Distance to the lowest polymorph of the same formula: 0 meV/atom
- N(E_F): 2.52 states/eV/f.u.